{
  "formula": "Na3VS3O12",
  "functional": "GGA+U",
  "state": "optimized geometry",
  "space_group": "R-3",
  "final_energy_ev_per_atom": -6.09,
  "m_tot_mub_per_cell": 4.0,
  "crystal_system": "trigonal",
  "dos_ef_per_ev_fu": 3.640,
  "cell": [[6.828, 3.942, 3.083], [-6.828, 3.942, 3.083], [0.000, -7.885, 3.083]],
  "species": ["Na", "Na", "Na", "Na", "Na", "Na", "V", "V", "S", "S", "S", "S", "S", "S", "O", "O", "O", "O", "O", "O", "O", "O", "O", "O", "O", "O", "O", "O", "O", "O", "O", "O", "O", "O", "O", "O", "O", "O"],
  "fractional_positions": [[0.115, 0.264, 0.644], [0.264, 0.644, 0.115], [0.356, 0.885, 0.736], [0.644, 0.115, 0.264], [0.736, 0.356, 0.885], [0.885, 0.736, 0.356], [0.000, 0.000, 0.000], [0.500, 0.500, 0.500], [0.053, 0.402, 0.264], [0.264, 0.053, 0.402], [0.402, 0.264, 0.053], [0.598, 0.736, 0.947], [0.736, 0.947, 0.598], [0.947, 0.598, 0.736], [0.020, 0.258, 0.086], [0.020, 0.474, 0.789], [0.028, 0.679, 0.633], [0.086, 0.020, 0.258], [0.211, 0.980, 0.526], [0.258, 0.086, 0.020], [0.259, 0.514, 0.373], [0.321, 0.367, 0.972], [0.367, 0.972, 0.321], [0.373, 0.259, 0.514], [0.474, 0.789, 0.020], [0.486, 0.627, 0.741], [0.514, 0.373, 0.259], [0.526, 0.211, 0.980], [0.627, 0.741, 0.486], [0.633, 0.028, 0.679], [0.679, 0.633, 0.028], [0.741, 0.486, 0.627], [0.742, 0.914, 0.980], [0.789, 0.020, 0.474], [0.914, 0.980, 0.742], [0.972, 0.321, 0.367], [0.980, 0.526, 0.211], [0.980, 0.742, 0.914]]
}